Crystalline BaLiCl3 at its relaxed geometry. Source: Alexandria via LeMat-Bulk, functional GGA-PBE.

Cell and atoms, written as extended XYZ:
```
5
Lattice="-5.9255 0.7398 -0.6788 -0.9946 -4.8794 3.3648 -0.1369 3.4298 4.9332" Properties=species:S:1:pos:R:3 pbc="T T T"
Li -3.5285 -0.3549 3.8096
Ba 0.0000 0.0000 0.0000
Cl -0.4973 -2.4397 1.6824
Cl -0.0684 1.7149 2.4666
Cl -2.9627 0.3699 -0.3394
```

Results
Formation energy without anion corrections: -1769 meV/atom
V: 217 Å³/cell
M_tot: 0.00 Bohr magnetons per cell

---

Crystalline BaLi2Cl at its relaxed geometry. Source: Alexandria via LeMat-Bulk, functional GGA-PBE.

Cell and atoms, written as extended XYZ:
```
4
Lattice="7.6631 0.0225 0.0092 -5.1450 5.6791 0.0092 1.0926 2.4740 3.0967" Properties=species:S:1:pos:R:3 pbc="T T T"
Ba 4.3778 1.2483 1.5530
Cl -2.0262 4.0765 1.5530
Li 0.0000 0.0000 0.0000
Li 1.2590 2.8508 0.0092
```

Results
Formation energy without anion corrections: -723 meV/atom
V: 135 Å³/cell
M_tot: 0.00 Bohr magnetons per cell

---

Crystalline BaLi2Cl at its relaxed geometry. Source: Alexandria via LeMat-Bulk, functional GGA-PBE.

Cell and atoms, written as extended XYZ:
```
4
Lattice="-1.5395 -5.1440 -3.2680 5.0393 -3.6966 0.6723 -4.7358 2.7006 3.1288" Properties=species:S:1:pos:R:3 pbc="T T T"
Ba 1.9023 -4.8054 -1.4109
Cl -2.0660 -3.9288 -0.8644
Li 3.3084 -8.3573 -2.4538
Li 0.8688 -2.3093 1.3687
```

Results
Formation energy without anion corrections: -638 meV/atom
V: 131 Å³/cell
M_tot: 0.75 Bohr magnetons per cell

---

Crystalline BaLiCl3 at its relaxed geometry. Source: Alexandria via LeMat-Bulk, functional GGA-PBE.

Cell and atoms, written as extended XYZ:
```
5
Lattice="4.9140 0.0000 0.0000 0.0000 4.9140 0.0000 0.0000 0.0000 4.9140" Properties=species:S:1:pos:R:3 pbc="T T T"
Li 0.0000 0.0000 0.0000
Ba 2.4570 2.4570 2.4570
Cl 0.0000 2.4570 0.0000
Cl 0.0000 0.0000 2.4570
Cl 2.4570 0.0000 0.0000
```

Results
Formation energy without anion corrections: -2181 meV/atom
V: 119 Å³/cell
M_tot: 0.00 Bohr magnetons per cell

---

- The lowest formation energy without anion corrections belongs to which entry?
  number 4

---

- The highest V belongs to which entry?
  number 1

---

- The lowest formation energy without anion corrections belongs to which entry?
  number 4

---

- formation energy without anion corrections of number 2 (BaLi2Cl)?
  -723 meV/atom